50
Lattice="8.305 0.000 0.000 0.000 7.953 0.000 -0.146 0.000 11.263" Properties=species:S:1:pos:R:3 comment="PBE+U K2CoH4I4O14, relaxed" rho_g_cm3=3.9 dft_energy_ev_per_atom=-4.680 pbc="T T T"
K 2.016 0.000 2.833
K 2.034 3.784 2.828
K 6.125 7.761 8.434
K 6.143 3.976 8.429
Co 1.985 3.406 8.374
Co 6.174 7.382 2.889
H 1.231 0.821 8.912
H 1.391 5.990 7.845
H 2.544 0.784 7.846
H 2.627 5.994 8.960
H 5.531 2.018 2.303
H 5.615 4.761 3.417
H 6.768 2.014 3.418
H 6.927 4.798 2.351
I -0.075 1.986 11.110
I 0.009 2.017 5.936
I 3.964 2.053 10.936
I 4.054 1.936 5.777
I 4.105 5.913 5.486
I 4.195 6.029 0.327
I 8.149 5.993 5.326
I 8.234 5.963 0.153
O 0.104 0.481 10.053
O 0.214 6.753 6.949
O 0.312 3.257 9.831
O 0.551 3.563 6.822
O 1.521 5.882 4.581
O 1.647 1.890 0.785
O 1.813 1.325 8.265
O 2.085 5.446 8.324
O 2.466 1.869 4.857
O 2.519 5.893 1.065
O 3.393 3.549 10.000
O 3.699 3.207 7.074
O 3.674 6.829 9.991
O 3.858 0.441 6.844
O 4.301 4.417 4.419
O 4.484 2.852 1.272
O 4.459 7.183 4.189
O 4.765 7.525 1.263
O 5.640 1.917 10.197
O 5.693 5.845 6.406
O 6.074 1.470 2.939
O 6.346 5.301 2.998
O 6.511 5.866 10.477
O 6.638 1.906 6.682
O 7.608 7.539 4.441
O 7.847 7.233 1.431
O 7.945 2.776 4.314
O 8.055 4.457 1.209